1.
Cd2SbRh | the Alexandria database | PBE-GGA | optimized geometry; V = 20.54 Å³ per atom; uncorrected formation energy = 0.045 eV/atom; VASP energy = -3.281 eV per atom
1.0
-5.005 0.068 -1.841
-0.997 -1.534 2.653
-0.823 4.068 2.387
Cd Sb Rh
2 1 1
Cartesian
-0.873 2.704 2.473 Cd
-0.946 -0.170 2.566 Cd
-3.412 1.301 1.599 Sb
-2.503 0.034 -0.921 Rh

***

2.
CdSb4Rh | the Alexandria database | PBE-GGA | optimized geometry; V = 26.87 Å³ per atom; uncorrected formation energy = 0.643 eV/atom; VASP energy = -3.483 eV per atom
1.0
3.969 -3.625 -2.903
0.685 -5.810 1.762
-2.037 -4.531 -3.556
Cd Sb Rh
1 4 1
Cartesian
1.963 -10.474 -3.523 Cd
2.960 -7.049 -3.210 Sb
-0.032 -7.501 -3.535 Sb
1.324 -8.138 -0.885 Sb
0.983 -5.243 -1.763 Sb
0.000 0.000 0.000 Rh

***

3.
Cd2SbRh | the Alexandria database | PBE-GGA | optimized geometry; V = 19.85 Å³ per atom; uncorrected formation energy = 0.021 eV/atom; VASP energy = -3.305 eV per atom
1.0
-3.652 1.940 0.821
-1.008 -3.052 2.729
1.960 2.296 3.293
Cd Sb Rh
2 1 1
Cartesian
-0.504 -1.526 1.364 Cd
-1.826 0.970 0.410 Cd
0.980 1.148 1.646 Sb
-1.350 0.592 3.421 Rh

***

4.
Cd2SbRh | the Alexandria database | PBE-GGA | optimized geometry; V = 21.84 Å³ per atom; uncorrected formation energy = -0.055 eV/atom; VASP energy = -3.381 eV per atom
1.0
1.551 6.800 -0.063
-1.551 6.800 -0.063
0.000 1.442 4.126
Cd Sb Rh
2 1 1
Cartesian
0.000 5.186 2.816 Cd
0.000 9.856 1.183 Cd
0.000 6.800 -0.063 Sb
0.000 0.721 2.063 Rh

***

5.
Cd2SbRh | the Alexandria database | PBE-GGA | optimized geometry; V = 22.52 Å³ per atom; uncorrected formation energy = -0.145 eV/atom; VASP energy = -3.471 eV per atom
1.0
-1.545 2.307 6.319
1.545 -2.307 6.319
1.545 2.307 -6.319
Cd Sb Rh
2 1 1
Cartesian
0.000 2.307 0.134 Cd
0.000 0.000 2.279 Cd
0.000 0.000 10.348 Sb
0.000 2.307 6.195 Rh

***

6.
Cd2SbRh | the Alexandria database | PBE-GGA | optimized geometry; V = 20.63 Å³ per atom; uncorrected formation energy = 0.063 eV/atom; VASP energy = -3.263 eV per atom
1.0
-3.294 5.011 0.543
-1.890 -5.031 -2.714
-2.610 -0.925 1.726
Cd Sb Rh
2 1 1
Cartesian
-0.945 -2.516 -1.357 Cd
-1.647 2.505 0.272 Cd
0.000 0.000 0.000 Sb
-2.592 -0.010 -1.085 Rh

***

7.
Cd2SbRh2 | the Alexandria database | PBE-GGA | optimized geometry; V = 19.23 Å³ per atom; uncorrected formation energy = -0.182 eV/atom; VASP energy = -4.313 eV per atom
1.0
-1.097 -2.986 -5.943
2.980 -5.605 2.267
-3.733 -1.418 1.401
Sb Rh Cd
2 4 4
Cartesian
0.000 0.000 0.000 Sb
0.942 -4.296 -1.838 Sb
2.151 -5.819 -0.157 Rh
1.001 -6.179 -3.587 Rh
-0.268 -2.773 -3.519 Rh
0.883 -2.413 -0.089 Rh
-0.087 -4.831 1.270 Cd
-0.060 -7.406 -1.264 Cd
-1.762 -5.179 -3.545 Cd
-1.789 -2.604 -1.011 Cd

***

8.
Cd2SbRh | the Alexandria database | PBE-GGA | optimized geometry; V = 21.48 Å³ per atom; uncorrected formation energy = 0.139 eV/atom; VASP energy = -3.187 eV per atom
1.0
9.200 -1.646 -0.079
9.200 1.646 -0.079
8.929 0.000 2.760
Cd Sb Rh
2 1 1
Cartesian
20.228 0.000 1.926 Cd
7.100 0.000 0.676 Cd
13.664 0.000 1.301 Sb
0.000 0.000 0.000 Rh

***

9.
Cd2SbRh | the Alexandria database | PBE-GGA | optimized geometry; V = 20.31 Å³ per atom; uncorrected formation energy = 0.064 eV/atom; VASP energy = -3.262 eV per atom
1.0
-0.102 0.980 5.080
-4.321 -2.174 -1.840
1.261 -3.021 0.608
Cd Sb Rh
2 1 1
Cartesian
-0.051 0.490 2.540 Cd
-2.160 -1.087 -0.920 Cd
-1.581 -2.107 1.924 Sb
0.630 -1.511 0.304 Rh

***

10.
CdSbRh3 | the Alexandria database | PBE-GGA | optimized geometry; relative energy among the computed polymorphs = 0.0 kJ/mol of formula units; V = 22.35 Å³ per atom; uncorrected formation energy = 0.640 eV/atom; VASP energy = -4.779 eV per atom
1.0
-2.200 1.240 4.102
-4.137 0.588 -2.396
-1.117 -4.617 0.796
Sb Rh Cd
1 3 1
Cartesian
0.000 0.000 0.000 Sb
-2.069 0.294 -1.198 Rh
-0.559 -2.309 0.398 Rh
-1.100 0.620 2.051 Rh
-3.727 -1.395 1.251 Cd

***

11.
Cd2SbRh | the Alexandria database | PBE-GGA | optimized geometry; V = 25.54 Å³ per atom; uncorrected formation energy = 0.105 eV/atom; VASP energy = -3.221 eV per atom
1.0
-3.777 -4.625 -6.808
2.990 -7.750 3.605
-2.503 -6.392 -0.292
Sb Rh Cd
2 2 4
Cartesian
0.000 0.000 0.000 Sb
-3.337 -8.602 -4.350 Sb
-0.394 -6.187 -1.601 Rh
0.047 -10.164 0.856 Rh
-2.239 -4.999 -3.203 Cd
0.397 -7.477 0.656 Cd
-1.877 -10.201 -1.063 Cd
-2.862 -14.855 -3.378 Cd

***

12.
Cd2SbRh | the Alexandria database | PBE-GGA | optimized geometry; V = 20.32 Å³ per atom; uncorrected formation energy = 0.025 eV/atom; VASP energy = -3.301 eV per atom
1.0
-3.724 -1.000 0.355
0.885 -2.302 2.793
-0.771 4.183 3.691
Cd Sb Rh
2 1 1
Cartesian
-0.590 3.196 2.821 Cd
-0.182 0.987 0.871 Cd
-1.806 0.440 3.420 Sb
-1.420 -1.651 1.574 Rh